A plane-wave DFT calculation with GGA-PBE was carried out for crystalline DyZn4Cu4 at its relaxed geometry.

```
DyZn4Cu4
1.0
-2.963 -2.211 2.285
4.564 -6.615 -0.482
3.724 2.072 6.831
Dy Zn Cu
2 8 8
direct
0.000 0.000 0.000
0.500 0.500 0.500
0.500 0.414 0.871
0.000 0.629 0.914
0.500 0.586 0.129
0.000 0.086 0.629
0.500 0.871 0.586
0.000 0.914 0.371
0.000 0.371 0.086
0.500 0.129 0.414
0.500 0.874 0.219
0.500 0.126 0.781
0.000 0.719 0.626
0.000 0.374 0.719
0.000 0.626 0.281
0.500 0.219 0.126
0.500 0.781 0.874
0.000 0.281 0.374
```

DFT formation energy   -0.046 eV per atom
Total energy   -2.944 eV/atom


A plane-wave DFT calculation with GGA-PBE was carried out for crystalline HoTiAl2 at its relaxed geometry.

```
HoTiAl2
1.0
4.244 0.000 0.000
0.000 4.313 0.000
0.000 0.000 4.313
Al Ho Ti
2 1 1
direct
0.000 0.000 0.500
0.000 0.500 0.000
0.500 0.500 0.500
0.500 0.000 0.000
```

Relative energy among the computed polymorphs   62 meV/atom
DFT formation energy   -0.253 eV per atom
Total energy   -5.242 eV/atom


no.,magnetization (μB per formula unit)
1,0.00
2,1.31